The following is a PBE calculation of a geometry-optimized ScBeAl2 structure, from the Alexandria database.

Calculated values
For the spin magnetization, the calculation gives 0.00 Bohr magnetons per cell. For the calculated volume, the calculation gives 15.76 A^3/atom. The calculation puts the calculated formation energy at -264.7 meV per atom.

Cell lengths 3.964, 3.964, 4.013 Å; angles 90.00, 90.00, 90.00 degrees
Atoms (fractional coordinates):
1 Sc 0.000 0.500 0.500
2 Be 0.500 0.000 0.500
3 Al 0.000 0.000 0.000
4 Al 0.500 0.500 0.000